Entry 1:
Compound: La12Bi3O5
Source: Alexandria via LeMat-Bulk
Functional: PBE
Structure: optimized geometry

It has space group Ia-3d (No. 230), with a = 16.641 Å, b = 16.641 Å, c = 16.641 Å, α = 90.00°, β = 90.00° and γ = 90.00°. Symmetry generates all atoms from La at (0.040, 0.048, 0.647), Bi at (0.000, 0.250, 0.125), O at (0.000, 0.000, 0.000) and O at (0.000, 0.250, 0.375).

For the uncorrected formation energy, the calculation gives -159.2 kJ/mol of atoms.


Entry 2:
Compound: Np3CuAg3Se8
Source: Alexandria via LeMat-Bulk
Functional: PBE
Structure: optimized geometry

It has space group R-3m (No. 166, hexagonal axes), with a = 8.1825 Å, b = 8.1825 Å, c = 19.2260 Å, α = 90.00°, β = 90.00° and γ = 120.00°. Symmetry generates all atoms from Np at (0.0000, 0.5000, 0.0000), Cu at (0.0000, 0.0000, 0.0000), Ag at (0.0000, 0.5000, 0.5000), Se at (0.0000, 0.0000, 0.2503) and Se at (0.0112, 0.5056, 0.7445).

For the uncorrected formation energy, the calculation gives -56.1 kJ/mol of atoms.


Entry 3:
Compound: MgAg
Source: Alexandria via LeMat-Bulk
Functional: PBE
Structure: optimized geometry

It has space group Cmcm (No. 63), with a = 3.085 Å, b = 10.801 Å, c = 4.629 Å, α = 90.00°, β = 90.00° and γ = 90.00°. Symmetry generates all atoms from Mg at (0.000, 0.159, 0.250) and Ag at (0.000, 0.422, 0.250).

The calculation puts the formation energy from the elements at -177 meV per atom.


Entry 4:
Compound: Ba2Sr3Tl2
Source: Alexandria via LeMat-Bulk
Functional: PBE
Structure: optimized geometry

It has space group C2/m (No. 12), with a = 12.360 Å, b = 5.607 Å, c = 9.700 Å, α = 90.00°, β = 109.12° and γ = 90.00°. Symmetry generates all atoms from Ba at (0.137, 0.000, 0.300), Sr at (0.000, 0.500, 0.500), Sr at (0.136, 0.500, 0.931) and Tl at (0.167, 0.000, 0.710).

The calculation puts the formation energy from the elements at -244 meV per atom. As for the energy above the lowest structure with this stoichiometry: 0.0 kJ/mol of atoms.